# PBE-GGA Na5Sn2Hg5, relaxed
data_Na5Sn2Hg5
_cell_length_a 16.290
_cell_length_b 5.056
_cell_length_c 9.565
_cell_angle_alpha 90.00
_cell_angle_beta 125.39
_cell_angle_gamma 90.00
_space_group_name_H-M_alt 'C 1 2/m 1'
_space_group_IT_number 12
_space_group_name_Hall '-C 2y'
loop_
_atom_site_label
_atom_site_type_symbol
_atom_site_fract_x
_atom_site_fract_y
_atom_site_fract_z
_atom_site_occupancy
Na1 Na 0.000 0.000 0.000 1
Na2 Na 0.100 0.000 0.420 1
Na3 Na 0.175 0.000 0.847 1
Sn1 Sn 0.156 0.500 0.240 1
Hg1 Hg 0.000 0.500 0.500 1
Hg2 Hg 0.059 0.500 0.861 1
Hg3 Hg 0.226 0.500 0.660 1
# E_tot in eV per atom: -1.5325
# Formation energy in eV/f.u.: -2.280
# ΔE to the lowest computed polymorph in eV/atom: 0.005